{"formula": "HgBr2F", "functional": "PBE-GGA", "state": "relaxed", "dft_energy_ev_per_atom": -1.923, "e_above_lowest_polymorph_kj_per_mol_atoms": 0.0, "e_form_raw_mev_per_atom": -543, "lattice": [[3.940, 0.000, 0.000], [0.000, 11.626, 0.000], [-0.976, 0.000, 5.621]], "species": ["Hg", "Hg", "Br", "Br", "Br", "Br", "F", "F"], "fractional_positions": [[0.201, 0.250, 0.314], [0.799, 0.750, 0.686], [0.481, 0.118, 0.010], [0.481, 0.382, 0.010], [0.519, 0.618, 0.990], [0.519, 0.882, 0.990], [0.177, 0.750, 0.466], [0.823, 0.250, 0.534]]}